The following is a DFT calculation (GGA-PBE) of a relaxed Tl2ZnIn2 crystal.

Cell: 7.294 7.294 5.264 Å, 90.00 90.00 90.00°
Sites, in units of the cell vectors:
Tl 0.168 0.332 0.000
Tl 0.332 0.832 0.000
Tl 0.668 0.168 0.000
Tl 0.832 0.668 0.000
Zn 0.000 0.000 0.500
Zn 0.500 0.500 0.500
In 0.147 0.647 0.500
In 0.353 0.147 0.500
In 0.647 0.853 0.500
In 0.853 0.353 0.500

## Properties
ΔE to the lowest computed polymorph   24 meV per atom

The following is a DFT calculation (GGA-PBE) of a relaxed CsHfF6 crystal.

Cell: 5.223 5.223 6.205 Å, 94.33 94.33 100.54°
Sites, in units of the cell vectors:
Cs 0.000 0.000 0.000
Hf 0.500 0.500 0.500
F 0.143 0.491 0.345
F 0.357 0.357 0.764
F 0.491 0.143 0.345
F 0.509 0.857 0.655
F 0.643 0.643 0.236
F 0.857 0.509 0.655

## Properties
Raw formation energy   -3.051 eV per atom

The following is a DFT calculation (GGA-PBE) of a relaxed HgIrAu4 crystal.

Cell: 5.454 5.454 5.454 Å, 60.00 60.00 60.00°
Sites, in units of the cell vectors:
Hg 0.000 0.000 0.000
Ir 0.250 0.250 0.250
Au 0.126 0.625 0.625
Au 0.625 0.126 0.625
Au 0.625 0.625 0.126
Au 0.625 0.625 0.625

## Properties
Energy   -3.173 eV/atom

The following is a DFT calculation (GGA-PBE) of a relaxed Sc4RuPt2 crystal.

Cell: 7.916 7.916 7.916 Å, 33.59 33.59 33.59°
Sites, in units of the cell vectors:
Sc 0.124 0.124 0.124
Sc 0.375 0.375 0.375
Sc 0.625 0.625 0.625
Sc 0.876 0.876 0.876
Ru 0.500 0.500 0.500
Pt 0.250 0.250 0.250
Pt 0.750 0.750 0.750

## Properties
Energy   -7.638 eV/atom

The following is a DFT calculation (GGA-PBE) of a relaxed MnSb2P crystal.

Cell: 3.542 3.561 6.489 Å, 90.00 95.73 90.00°
Sites, in units of the cell vectors:
Mn 0.000 0.000 0.000
Sb 0.426 0.500 0.762
Sb 0.574 0.500 0.238
P 0.000 0.000 0.500

## Properties
Raw formation energy   0.390 eV per atom

The following is a DFT calculation (GGA-PBE) of a relaxed K2NaHfB crystal.

Cell: 5.895 5.895 5.190 Å, 90.00 90.00 90.00°
Sites, in units of the cell vectors:
K 0.000 0.500 0.000
K 0.500 0.000 0.000
Na 0.000 0.000 0.500
Hf 0.500 0.500 0.500
B 0.000 0.000 0.000

## Properties
Energy   -2.351 eV/atom

Number 1: calculated volume 28.0 Å³/atom, DOS at the Fermi energy 4.5 states/eV per cell. Number 2: calculated volume 20.7 Å³/atom, DOS at the Fermi energy 6.1 states/eV per cell. Number 3: calculated volume 19.1 Å³/atom, DOS at the Fermi energy 3.8 states/eV per cell. Number 4: calculated volume 19.3 Å³/atom, DOS at the Fermi energy 3.5 states/eV per cell. Number 5: calculated volume 20.4 Å³/atom, DOS at the Fermi energy 2.3 states/eV per cell. Number 6: calculated volume 36.1 Å³/atom, DOS at the Fermi energy 7.9 states/eV per cell.